The following is a PBE calculation of a relaxed KY2TiTc crystal, from Alexandria.

Electronic total energy (eV/atom): -5.702
Density (g/cm3): 4.028

abc: 5.758 4.511 5.758
angles: 90.00 90.00 90.00
Fractional coordinates of all 5 atoms:
Y1 0.000 0.000 0.500
Y2 0.500 0.000 0.000
K1 0.500 0.500 0.500
Tc1 0.000 0.500 0.000
Ti1 0.000 0.000 0.000



The following is a PBE calculation of a relaxed NaLaFePd2 crystal, from Alexandria.

Electronic total energy (eV/atom): -4.817
Density (g/cm3): 6.176

abc: 4.927 4.770 4.927
angles: 90.00 90.00 90.00
Fractional coordinates of all 5 atoms:
Na1 0.500 0.500 0.500
Fe1 0.000 0.000 0.000
Pd1 0.000 0.000 0.500
Pd2 0.500 0.000 0.000
La1 0.000 0.500 0.000



The following is a PBE calculation of a relaxed BaZnRh2 crystal, from Alexandria.

Electronic total energy (eV/atom): -4.746
Density (g/cm3): 7.093

abc: 4.449 4.449 6.145
angles: 68.72 68.72 60.00
Fractional coordinates of all 4 atoms:
Zn1 0.562 0.562 0.314
Rh1 0.934 0.934 0.198
Rh2 0.256 0.256 0.232
Ba1 0.748 0.748 0.756



The following is a PBE calculation of a relaxed Pm7PrTm3 crystal, from Alexandria.

Electronic total energy (eV/atom): -4.485
Density (g/cm3): 7.134

abc: 8.645 7.190 7.190
angles: 120.00 90.00 90.00
Fractional coordinates of all 11 atoms:
Pm1 0.108 0.167 0.833
Pm2 0.108 0.167 0.334
Pm3 0.124 0.667 0.333
Pm4 0.458 0.833 0.167
Pm5 0.458 0.335 0.167
Pm6 0.458 0.833 0.665
Pm7 0.108 0.666 0.833
Pr1 0.441 0.333 0.667
Tm1 0.784 0.500 0.500
Tm2 0.784 0.500 0.001
Tm3 0.784 0.999 0.500